Entry 1:
Compound: RbLiVO4
Source: the Alexandria database
Functional: PBE+U
Structure: relaxed

POSCAR file:
```
RbLiVO4
1.0
-5.044 -2.629 -1.087
1.954 -1.594 -5.213
3.072 -1.513 4.831
V O Li Rb
1 4 1 1
direct
0.250 0.750 0.500
0.445 0.637 0.737
0.292 0.100 0.737
0.900 0.555 0.263
0.363 0.708 0.263
0.500 0.500 0.000
0.000 0.000 0.000
```

## Properties
magnetization = 1.005 μB per cell
uncorrected energy = -6.024 eV per atom



Entry 2:
Compound: Rb2LiVO4
Source: the Alexandria database
Functional: PBE+U
Structure: relaxed

POSCAR file:
```
Rb2LiVO4
1.0
-1.610 -3.967 2.421
4.822 -3.270 2.845
-1.980 3.691 9.726
Rb O Li V
4 8 2 2
direct
0.172 0.000 0.656
0.828 0.000 0.344
0.922 0.500 0.156
0.578 0.500 0.844
0.158 0.334 0.408
0.592 0.166 0.092
0.849 0.834 0.908
0.507 0.334 0.592
0.317 0.834 0.092
0.901 0.666 0.592
0.433 0.666 0.408
0.243 0.166 0.908
0.750 0.500 0.500
0.000 0.000 0.000
0.250 0.500 0.500
0.500 0.000 0.000
```

## Properties
polymorph energy (0 for the lowest one) = 74 meV per atom
magnetization = 0.000 μB per cell
uncorrected energy = -5.837 eV per atom



Entry 3:
Compound: RbLiVO3
Source: the Alexandria database
Functional: PBE+U
Structure: relaxed

POSCAR file:
```
RbLiVO3
1.0
-4.066 -2.889 2.325
3.638 -2.079 3.779
-2.859 5.112 1.351
O Li V Rb
6 2 2 2
direct
0.000 0.727 0.000
0.750 0.721 0.442
0.500 0.727 0.000
0.250 0.279 0.558
0.500 0.273 0.000
0.000 0.273 0.000
0.250 0.060 0.120
0.750 0.940 0.880
0.250 0.442 0.885
0.750 0.558 0.115
0.750 0.233 0.466
0.250 0.767 0.534
```

## Properties
magnetization = 2.000 μB per cell
uncorrected energy = -6.187 eV per atom



Entry 4:
Compound: RbLiV2O6
Source: the Alexandria database
Functional: PBE+U
Structure: relaxed

POSCAR file:
```
RbLiV2O6
1.0
-1.392 -1.779 5.578
-6.588 -4.311 -0.936
4.848 -6.129 1.337
O Li V Rb
12 2 4 2
direct
0.092 0.680 0.640
0.249 0.971 0.744
0.054 0.600 0.209
0.251 0.256 0.029
0.908 0.320 0.360
0.946 0.400 0.791
0.751 0.029 0.256
0.408 0.360 0.320
0.554 0.209 0.600
0.592 0.640 0.680
0.749 0.744 0.971
0.446 0.791 0.400
0.750 0.774 0.226
0.250 0.226 0.774
0.348 0.771 0.612
0.652 0.229 0.388
0.848 0.612 0.771
0.152 0.388 0.229
0.250 0.883 0.117
0.750 0.117 0.883
```

## Properties
magnetization = 0.000 μB per cell
uncorrected energy = -6.745 eV per atom



Entry 5:
Compound: Rb2LiVO4
Source: the Alexandria database
Functional: PBE+U
Structure: relaxed

POSCAR file:
```
Rb2LiVO4
1.0
-5.128 3.542 2.427
-0.267 -6.038 -2.864
1.012 -3.443 7.165
Rb O V Li
4 8 2 2
direct
0.604 0.396 0.051
0.396 0.604 0.551
0.937 0.063 0.909
0.063 0.937 0.409
0.408 0.115 0.717
0.365 0.635 0.909
0.885 0.592 0.717
0.836 0.164 0.578
0.115 0.408 0.217
0.635 0.365 0.409
0.592 0.885 0.217
0.164 0.836 0.078
0.691 0.309 0.611
0.309 0.691 0.111
0.799 0.201 0.329
0.201 0.799 0.829
```

## Properties
polymorph energy (0 for the lowest one) = 0 meV per atom
magnetization = 0.001 μB per cell
uncorrected energy = -5.911 eV per atom



Entry 6:
Compound: RbLi2WO4
Source: the Alexandria database
Functional: PBE+U
Structure: relaxed

POSCAR file:
```
RbLi2WO4
1.0
-4.178 -2.920 -2.112
2.035 -1.368 4.942
-0.894 5.176 1.690
Li O W Rb
2 4 1 1
direct
0.500 0.750 0.250
0.500 0.250 0.750
0.000 0.158 0.533
0.625 0.467 0.467
0.000 0.533 0.158
0.375 0.842 0.842
0.000 0.500 0.500
0.000 0.000 0.000
```

## Properties
magnetization = 1.000 μB per cell
uncorrected energy = -5.847 eV per atom